Entry 1:
NaBiOs3: relaxed, GGA-PBEsol.

Cell and atoms, written as POSCAR:
```
NaBiOs3
1.0
4.517 0.000 0.000
0.000 4.517 0.000
0.000 0.000 4.517
Na Bi Os
1 1 3
direct
0.000 0.000 0.000 Na
0.500 0.500 0.500 Bi
0.000 0.000 0.500 Os
0.000 0.500 0.000 Os
0.500 0.000 0.000 Os
```

Output
The calculation puts the energy relative to the elements at 14.65 eV/f.u.

---

Entry 2:
Tm5Ir3: relaxed, GGA-PBEsol.

Cell and atoms, written as POSCAR:
```
Tm5Ir3
1.0
10.596 0.000 0.000
0.000 10.596 0.000
0.000 0.000 6.178
Tm Ir
20 12
direct
0.041 0.163 0.125 Tm
0.041 0.337 0.625 Tm
0.163 0.041 0.625 Tm
0.163 0.459 0.125 Tm
0.250 0.750 0.000 Tm
0.250 0.750 0.500 Tm
0.337 0.041 0.125 Tm
0.337 0.459 0.625 Tm
0.459 0.163 0.625 Tm
0.459 0.337 0.125 Tm
0.541 0.663 0.875 Tm
0.541 0.837 0.375 Tm
0.663 0.541 0.375 Tm
0.663 0.959 0.875 Tm
0.750 0.250 0.000 Tm
0.750 0.250 0.500 Tm
0.837 0.541 0.875 Tm
0.837 0.959 0.375 Tm
0.959 0.663 0.375 Tm
0.959 0.837 0.875 Tm
0.096 0.596 0.750 Ir
0.096 0.904 0.250 Ir
0.250 0.250 0.377 Ir
0.250 0.250 0.877 Ir
0.404 0.596 0.250 Ir
0.404 0.904 0.750 Ir
0.596 0.096 0.250 Ir
0.596 0.404 0.750 Ir
0.750 0.750 0.123 Ir
0.750 0.750 0.623 Ir
0.904 0.096 0.750 Ir
0.904 0.404 0.250 Ir
```

Output
The calculation puts the energy relative to the elements at -6.77 eV/f.u. For the polymorph energy (0 for the lowest one), the calculation gives 0 meV/atom.

---

Entry 3:
FeNi2W: relaxed, GGA-PBEsol.

Cell and atoms, written as POSCAR:
```
FeNi2W
1.0
2.579 0.000 0.000
0.000 2.579 0.000
0.000 0.000 7.149
Fe Ni W
1 2 1
direct
0.000 0.000 0.000 Fe
0.000 0.000 0.460 Ni
0.500 0.500 0.226 Ni
0.500 0.500 0.720 W
```

Output
The calculation puts the energy relative to the elements at 0.25 eV/f.u. For the polymorph energy (0 for the lowest one), the calculation gives 111 meV/atom.

---

Entry 4:
PrSn2: relaxed, GGA-PBEsol.

Cell and atoms, written as POSCAR:
```
PrSn2
1.0
2.230 -7.957 0.000
2.230 7.957 0.000
0.000 0.000 4.567
Pr Sn
2 4
direct
0.145 0.855 0.000 Pr
0.855 0.145 0.000 Pr
0.000 0.000 0.500 Sn
0.315 0.685 0.500 Sn
0.500 0.500 0.000 Sn
0.685 0.315 0.500 Sn
```

Output
The calculation puts the energy relative to the elements at -2.11 eV/f.u.

---

Entry 5:
MgCd2: relaxed, GGA-PBEsol.

Cell and atoms, written as POSCAR:
```
MgCd2
1.0
3.174 0.000 0.000
-1.587 2.749 0.000
0.000 0.000 14.419
Mg Cd
2 4
direct
0.000 0.000 0.167 Mg
0.000 0.000 0.833 Mg
0.000 0.000 0.500 Cd
0.333 0.667 0.000 Cd
0.333 0.667 0.333 Cd
0.333 0.667 0.667 Cd
```

Output
The calculation puts the energy relative to the elements at -0.15 eV/f.u.

---

Entry 6:
MgAl4As: relaxed, GGA-PBEsol.

Cell and atoms, written as POSCAR:
```
MgAl4As
1.0
0.000 3.784 3.784
3.784 0.000 3.784
3.784 3.784 0.000
Mg Al As
1 4 1
direct
0.000 0.000 0.000 Mg
0.375 0.375 0.375 Al
0.375 0.375 0.876 Al
0.375 0.876 0.375 Al
0.876 0.375 0.375 Al
0.750 0.750 0.750 As
```

Output
The calculation puts the energy relative to the elements at 0.79 eV/f.u.

---

Entry 7:
AlRhBr: relaxed, GGA-PBEsol.

Cell and atoms, written as POSCAR:
```
AlRhBr
1.0
0.000 3.022 3.022
3.022 0.000 3.022
3.022 3.022 0.000
Al Rh Br
1 1 1
direct
0.000 0.000 0.000 Al
0.250 0.250 0.250 Rh
0.500 0.500 0.500 Br
```

Output
The value obtained for the energy relative to the elements, uncorrected is -0.046 eV per atom.

---

Entry 8:
SmAu: relaxed, GGA-PBEsol.

Cell and atoms, written as POSCAR:
```
SmAu
1.0
7.263 0.000 0.000
0.000 4.706 0.000
0.000 0.000 5.662
Sm Au
4 4
direct
0.186 0.250 0.146 Sm
0.314 0.750 0.646 Sm
0.686 0.250 0.354 Sm
0.814 0.750 0.854 Sm
0.039 0.250 0.650 Au
0.461 0.750 0.150 Au
0.539 0.250 0.850 Au
0.961 0.750 0.350 Au
```

Output
The calculation puts the energy relative to the elements at -1.67 eV/f.u.

---

Entry 9:
Sr2HgGeIr: relaxed, GGA-PBEsol.

Cell and atoms, written as POSCAR:
```
Sr2HgGeIr
1.0
5.774 0.000 0.000
0.000 5.774 0.000
0.000 0.000 4.651
Sr Hg Ge Ir
2 1 1 1
direct
0.000 0.500 0.000 Sr
0.500 0.000 0.000 Sr
0.000 0.000 0.500 Hg
0.500 0.500 0.500 Ge
0.500 0.500 0.000 Ir
```

Output
The calculation puts the energy relative to the elements at -1.81 eV/f.u.

---

Entry 10:
NaTiAl3: relaxed, GGA-PBEsol.

Cell and atoms, written as POSCAR:
```
NaTiAl3
1.0
5.033 0.000 0.000
0.000 5.033 0.000
0.000 0.000 5.033
Na Ti Al
1 1 3
direct
0.000 0.000 0.000 Na
0.500 0.500 0.500 Ti
0.000 0.500 0.500 Al
0.500 0.000 0.500 Al
0.500 0.500 0.000 Al
```

Output
The calculation puts the energy relative to the elements at 3.03 eV/f.u.

---

Entry 11:
CsHfBi2: relaxed, GGA-PBEsol.

Cell and atoms, written as POSCAR:
```
CsHfBi2
1.0
0.000 3.926 3.926
3.926 0.000 3.926
3.926 3.926 0.000
Cs Hf Bi
1 1 2
direct
0.000 0.000 0.000 Cs
0.500 0.500 0.500 Hf
0.250 0.250 0.250 Bi
0.750 0.750 0.750 Bi
```

Output
The calculation puts the energy relative to the elements at 1.30 eV/f.u.

---

Entry 12:
Li2YBr: relaxed, GGA-PBEsol.

Cell and atoms, written as POSCAR:
```
Li2YBr
1.0
0.000 3.555 3.555
3.555 0.000 3.555
3.555 3.555 0.000
Li Y Br
2 1 1
direct
0.000 0.000 0.000 Li
0.250 0.250 0.250 Li
0.750 0.750 0.750 Y
0.500 0.500 0.500 Br
```

Output
For the polymorph energy (0 for the lowest one), the calculation gives 230 meV/atom. The value obtained for the energy relative to the elements, uncorrected is -0.136 eV per atom.

---

no.,total DFT energy (no corrections) (eV per atom),calculated density (g cm⁻³)
1,-5.5370,14.46
2,-7.5921,13.61
3,-8.7088,12.47
4,-5.2698,7.75
5,-1.4196,6.58
6,-3.7339,3.17
7,-4.7459,6.31
8,-5.3415,11.92
9,-4.1649,6.86
10,-3.7937,1.98
11,-4.6796,10.01
12,-3.2929,3.38